Density functional theory data (meta-GGA SCAN) for CrAs2CI at its PBEsol-relaxed geometry.

Values from the calculation:
- Calculated total energy: -0.6852 hartree per atom
- ΔE_f (raw): 2.476 eV/atom
- SG: P4/mmm (123)

Lattice parameters (Å, degrees): 5.4338 5.4338 4.9623 90.00 90.00 90.00
Closest atoms and distances in Å follow each position.
Sites, in units of the cell vectors:
Cr 0.0000 0.0000 0.0000  2 I 2.48
As 0.0000 0.5000 0.5000  2 I 2.72
As 0.5000 0.0000 0.5000  2 I 2.72
C 0.5000 0.5000 0.0000  8 As 3.68, 4 Cr 3.84
I 0.0000 0.0000 0.5000  2 Cr 2.48, 4 As 2.72

***

Density functional theory data (meta-GGA SCAN) for Na3CrAsCO7 at its PBEsol-relaxed geometry.

Values from the calculation:
- Calculated total energy: -0.3643 hartree per atom
- ΔE_f (raw): -1.840 eV/atom
- SG: P2_1/m (11)

Lattice parameters (Å, degrees): 5.2850 6.6586 9.2516 90.00 92.17 90.00
Closest atoms and distances in Å follow each position.
Sites, in units of the cell vectors:
Na 0.2004 0.2500 0.0883  5 O 2.31-2.57
Na 0.2584 0.0006 0.7439  4 O 2.26-2.51
Na 0.2584 0.4994 0.7439  4 O 2.26-2.51
Na 0.7416 0.5006 0.2561  4 O 2.26-2.51
Na 0.7416 0.9994 0.2561  4 O 2.26-2.51
Na 0.7996 0.7500 0.9117  5 O 2.31-2.57
Cr 0.2285 0.7500 0.3453  5 O 2.01-2.22
Cr 0.7715 0.2500 0.6547  5 O 2.01-2.22
As 0.3129 0.2500 0.4233  4 O 1.70-1.74
As 0.6871 0.7500 0.5767  4 O 1.70-1.74
C 0.2984 0.7500 0.0479  3 O 1.29-1.31
C 0.7016 0.2500 0.9521  3 O 1.29-1.31
O 0.1063 0.7500 0.1337  1 C 1.31
O 0.1676 0.2500 0.5842  1 As 1.70
O 0.2354 0.0494 0.3114  1 As 1.73
O 0.2354 0.4506 0.3114  1 As 1.73
O 0.2499 0.7500 0.9098  1 C 1.29
O 0.3590 0.7500 0.5523  1 As 1.74
O 0.4732 0.2500 0.8992  1 C 1.29
O 0.5268 0.7500 0.1008  1 C 1.29
O 0.6410 0.2500 0.4477  1 As 1.74
O 0.7501 0.2500 0.0902  1 C 1.29
O 0.7646 0.5494 0.6886  1 As 1.73
O 0.7646 0.9506 0.6886  1 As 1.73
O 0.8324 0.7500 0.4158  1 As 1.70
O 0.8937 0.2500 0.8663  1 C 1.31

***

Density functional theory data (meta-GGA SCAN) for Na4Cr2AsC4O16 at its PBEsol-relaxed geometry.

Values from the calculation:
- Calculated total energy: -0.3540 hartree per atom
- ΔE_f (raw): -1.710 eV/atom
- SG: Fddd (70)

Lattice parameters (Å, degrees): 9.8140 9.7865 9.6981 60.49 60.20 59.31
Closest atoms and distances in Å follow each position.
Sites, in units of the cell vectors:
Na 0.0876 0.6624 0.0876  6 O 2.34-2.52
Na 0.0876 0.6624 0.6624  6 O 2.34-2.55
Na 0.3376 0.9124 0.3376  6 O 2.34-2.52
Na 0.3376 0.9124 0.9124  6 O 2.34-2.55
Na 0.6624 0.0876 0.0876  6 O 2.34-2.55
Na 0.6624 0.0876 0.6624  6 O 2.34-2.52
Na 0.9124 0.3376 0.3376  6 O 2.34-2.55
Na 0.9124 0.3376 0.9124  6 O 2.34-2.52
Cr 0.0000 0.5000 0.5000  6 O 1.96-1.98
Cr 0.5000 0.0000 0.5000  6 O 1.96-1.98
Cr 0.5000 0.5000 0.0000  6 O 1.96-1.98
Cr 0.5000 0.5000 0.5000  6 O 1.96-1.98
As 0.1250 0.1250 0.1250  4 O 1.71
As 0.8750 0.8750 0.8750  4 O 1.71
C 0.2864 0.6323 0.2920  3 O 1.29-1.30
C 0.2894 0.2920 0.6323  3 O 1.29-1.30
C 0.2920 0.2894 0.2864  3 O 1.29-1.30
C 0.3677 0.7136 0.7106  3 O 1.29-1.30
C 0.6323 0.2864 0.2894  3 O 1.29-1.30
C 0.7080 0.7106 0.7136  3 O 1.29-1.30
C 0.7106 0.7080 0.3677  3 O 1.29-1.30
C 0.7136 0.3677 0.7080  3 O 1.29-1.30
O 0.0411 0.3394 0.0596  1 As 1.71
O 0.0596 0.0599 0.0411  1 As 1.71
O 0.0599 0.0596 0.3394  1 As 1.71
O 0.1437 0.3201 0.6371  1 C 1.29
O 0.1439 0.4048 0.3131  1 C 1.30
O 0.1442 0.6292 0.4079  1 C 1.29
O 0.3131 0.6382 0.1439  1 C 1.30
O 0.3186 0.4079 0.6292  1 C 1.29
O 0.3201 0.1437 0.3991  1 C 1.29
O 0.3394 0.0411 0.0599  1 As 1.71
O 0.3618 0.6869 0.5952  1 C 1.30
O 0.3629 0.6009 0.8563  1 C 1.29
O 0.3708 0.8558 0.6814  1 C 1.29
O 0.3991 0.6371 0.3201  1 C 1.29
O 0.4048 0.1439 0.6382  1 C 1.30
O 0.4079 0.3186 0.1442  1 C 1.29
O 0.5921 0.6814 0.8558  1 C 1.29
O 0.5952 0.8561 0.3618  1 C 1.30
O 0.6009 0.3629 0.6799  1 C 1.29
O 0.6292 0.1442 0.3186  1 C 1.29
O 0.6371 0.3991 0.1437  1 C 1.29
O 0.6382 0.3131 0.4048  1 C 1.30
O 0.6606 0.9589 0.9401  1 As 1.71
O 0.6799 0.8563 0.6009  1 C 1.29
O 0.6814 0.5921 0.3708  1 C 1.29
O 0.6869 0.3618 0.8561  1 C 1.30
O 0.8558 0.3708 0.5921  1 C 1.29
O 0.8561 0.5952 0.6869  1 C 1.30
O 0.8563 0.6799 0.3629  1 C 1.29
O 0.9401 0.9404 0.6606  1 As 1.71
O 0.9404 0.9401 0.9589  1 As 1.71
O 0.9589 0.6606 0.9404  1 As 1.71

***

Density functional theory data (meta-GGA SCAN) for Na6Cr2AsC4O16 at its PBEsol-relaxed geometry.

Values from the calculation:
- Calculated total energy: -0.3485 hartree per atom
- ΔE_f (raw): -1.817 eV/atom
- SG: Fd-3 (203)

Lattice parameters (Å, degrees): 9.8330 9.8330 9.8330 60.00 60.00 60.00
Closest atoms and distances in Å follow each position.
Sites, in units of the cell vectors:
Na 0.0846 0.0846 0.6654  6 O 2.38-2.50
Na 0.0846 0.6654 0.0846  6 O 2.38-2.50
Na 0.0846 0.6654 0.6654  6 O 2.38-2.50
Na 0.3346 0.3346 0.9154  6 O 2.38-2.50
Na 0.3346 0.9154 0.3346  6 O 2.38-2.50
Na 0.3346 0.9154 0.9154  6 O 2.38-2.50
Na 0.6654 0.0846 0.0846  6 O 2.38-2.50
Na 0.6654 0.0846 0.6654  6 O 2.38-2.50
Na 0.6654 0.6654 0.0846  6 O 2.38-2.50
Na 0.9154 0.3346 0.3346  6 O 2.38-2.50
Na 0.9154 0.3346 0.9154  6 O 2.38-2.50
Na 0.9154 0.9154 0.3346  6 O 2.38-2.50
Cr 0.0000 0.5000 0.5000  6 O 2.03
Cr 0.5000 0.0000 0.5000  6 O 2.03
Cr 0.5000 0.5000 0.0000  6 O 2.03
Cr 0.5000 0.5000 0.5000  6 O 2.03
As 0.1250 0.1250 0.1250  4 O 1.71
As 0.8750 0.8750 0.8750  4 O 1.71
C 0.2858 0.2858 0.2858  3 O 1.30
C 0.2858 0.2858 0.6425  3 O 1.30
C 0.2858 0.6425 0.2858  3 O 1.30
C 0.3575 0.7142 0.7142  3 O 1.30
C 0.6425 0.2858 0.2858  3 O 1.30
C 0.7142 0.3575 0.7142  3 O 1.30
C 0.7142 0.7142 0.3575  3 O 1.30
C 0.7142 0.7142 0.7142  3 O 1.30
O 0.0539 0.0539 0.0539  1 As 1.71
O 0.0539 0.0539 0.3384  1 As 1.71
O 0.0539 0.3384 0.0539  1 As 1.71
O 0.1412 0.3135 0.4005  1 C 1.30
O 0.1412 0.4005 0.6447  1 C 1.30
O 0.1412 0.6447 0.3135  1 C 1.30
O 0.3135 0.1412 0.6447  1 C 1.30
O 0.3135 0.4005 0.1412  1 C 1.30
O 0.3135 0.6447 0.4005  1 C 1.30
O 0.3384 0.0539 0.0539  1 As 1.71
O 0.3553 0.5995 0.6865  1 C 1.30
O 0.3553 0.6865 0.8588  1 C 1.30
O 0.3553 0.8588 0.5995  1 C 1.30
O 0.4005 0.1412 0.3135  1 C 1.30
O 0.4005 0.3135 0.6447  1 C 1.30
O 0.4005 0.6447 0.1412  1 C 1.30
O 0.5995 0.3553 0.8588  1 C 1.30
O 0.5995 0.6865 0.3553  1 C 1.30
O 0.5995 0.8588 0.6865  1 C 1.30
O 0.6447 0.1412 0.4005  1 C 1.30
O 0.6447 0.3135 0.1412  1 C 1.30
O 0.6447 0.4005 0.3135  1 C 1.30
O 0.6616 0.9461 0.9461  1 As 1.71
O 0.6865 0.3553 0.5995  1 C 1.30
O 0.6865 0.5995 0.8588  1 C 1.30
O 0.6865 0.8588 0.3553  1 C 1.30
O 0.8588 0.3553 0.6865  1 C 1.30
O 0.8588 0.5995 0.3553  1 C 1.30
O 0.8588 0.6865 0.5995  1 C 1.30
O 0.9461 0.6616 0.9461  1 As 1.71
O 0.9461 0.9461 0.6616  1 As 1.71
O 0.9461 0.9461 0.9461  1 As 1.71

***

Density functional theory data (meta-GGA SCAN) for Na2CrAsCO7 at its PBEsol-relaxed geometry.

Values from the calculation:
- Calculated total energy: -0.3784 hartree per atom
- ΔE_f (raw): -1.902 eV/atom
- SG: P2_1/m (11)

Lattice parameters (Å, degrees): 5.2589 6.6063 9.0227 90.00 92.09 90.00
Closest atoms and distances in Å follow each position.
Sites, in units of the cell vectors:
Na 0.2342 0.0037 0.2765  5 O 2.26-2.42
Na 0.2342 0.4963 0.2765  5 O 2.26-2.42
Na 0.7658 0.5037 0.7235  5 O 2.26-2.42
Na 0.7658 0.9963 0.7235  5 O 2.26-2.42
Cr 0.2110 0.2500 0.8438  6 O 1.97-2.01
Cr 0.7890 0.7500 0.1562  6 O 1.97-2.01
As 0.2866 0.7500 0.9257  4 O 1.71-1.73
As 0.7134 0.2500 0.0743  4 O 1.71-1.73
C 0.2818 0.2500 0.5799  3 O 1.25-1.32
C 0.7182 0.7500 0.4201  3 O 1.25-1.32
O 0.0564 0.2500 0.6378  1 C 1.31
O 0.1432 0.7500 0.0929  1 As 1.71
O 0.1976 0.5462 0.8200  1 As 1.71
O 0.1976 0.9538 0.8200  1 As 1.71
O 0.3198 0.2500 0.4442  1 C 1.25
O 0.3865 0.2500 0.0429  1 As 1.73
O 0.4657 0.2500 0.6837  1 C 1.32
O 0.5343 0.7500 0.3163  1 C 1.32
O 0.6135 0.7500 0.9571  1 As 1.73
O 0.6802 0.7500 0.5558  1 C 1.25
O 0.8024 0.0461 0.1800  1 As 1.71
O 0.8024 0.4538 0.1800  1 As 1.71
O 0.8568 0.2500 0.9071  1 As 1.71
O 0.9436 0.7500 0.3622  1 C 1.31

***

Density functional theory data (meta-GGA SCAN) for CsAsRhC2 at its PBEsol-relaxed geometry.

Values from the calculation:
- Calculated total energy: -0.7516 hartree per atom
- Energy of formation: 1941.1 meV/atom
- SG: P4/mmm (123)

Lattice parameters (Å, degrees): 3.9936 3.9936 6.6499 90.00 90.00 90.00
Closest atoms and distances in Å follow each position.
Sites, in units of the cell vectors:
Cs 0.0000 0.0000 0.0000  4 As 2.82
As 0.5000 0.5000 0.0000  4 Cs 2.82
Rh 0.0000 0.0000 0.5000  4 C 2.00
C 0.0000 0.5000 0.5000  2 Rh 2.00
C 0.5000 0.0000 0.5000  2 Rh 2.00

***

Density functional theory data (meta-GGA SCAN) for Cu3AsC at its PBEsol-relaxed geometry.

Values from the calculation:
- Calculated total energy: -0.5357 hartree per atom
- Energy of formation: 599.3 meV/atom
- SG: Pm-3m (221)

Lattice parameters (Å, degrees): 3.9217 3.9217 3.9217 90.00 90.00 90.00
Closest atoms and distances in Å follow each position.
Sites, in units of the cell vectors:
Cu 0.0000 0.0000 0.5000  2 C 1.96
Cu 0.0000 0.5000 0.0000  2 C 1.96
Cu 0.5000 0.0000 0.0000  2 C 1.96
As 0.5000 0.5000 0.5000  12 Cu 2.77
C 0.0000 0.0000 0.0000  6 Cu 1.96

***

Density functional theory data (meta-GGA SCAN) for Li2CuAsCO7 at its PBEsol-relaxed geometry.

Values from the calculation:
- Calculated total energy: -0.3423 hartree per atom
- ΔE_f (raw): -1.492 eV/atom
- SG: P2_1/m (11)

Lattice parameters (Å, degrees): 5.0984 6.2017 8.6094 90.00 90.81 90.00
Closest atoms and distances in Å follow each position.
Sites, in units of the cell vectors:
Li 0.1853 0.0206 0.2867  3 O 1.96-2.17
Li 0.1853 0.4794 0.2867  3 O 1.96-2.17
Li 0.8147 0.5206 0.7133  3 O 1.96-2.17
Li 0.8147 0.9794 0.7133  3 O 1.96-2.17
Cu 0.2395 0.7500 0.8422  4 O 1.85-1.87
Cu 0.7605 0.2500 0.1578  4 O 1.85-1.87
As 0.3142 0.2500 0.9370  4 O 1.68-1.74
As 0.6858 0.7500 0.0630  4 O 1.68-1.74
C 0.3317 0.7500 0.5383  3 O 1.26-1.34
C 0.6683 0.2500 0.4617  3 O 1.26-1.34
O 0.1283 0.7500 0.6349  1 C 1.34
O 0.2049 0.2500 0.1208  1 As 1.68
O 0.2090 0.0449 0.8179  1 As 1.72, 1 Cu 1.85
O 0.2090 0.4551 0.8179  1 As 1.72, 1 Cu 1.85
O 0.2645 0.7500 0.3950  1 C 1.28
O 0.3449 0.7500 0.0500  1 As 1.74, 1 Cu 1.86
O 0.4382 0.2500 0.4073  1 C 1.26
O 0.5618 0.7500 0.5927  1 C 1.26
O 0.6551 0.2500 0.9500  1 As 1.74, 1 Cu 1.86
O 0.7355 0.2500 0.6050  1 C 1.28
O 0.7910 0.5449 0.1821  1 As 1.72, 1 Cu 1.85
O 0.7910 0.9551 0.1821  1 As 1.72, 1 Cu 1.85
O 0.7951 0.7500 0.8792  1 As 1.68
O 0.8717 0.2500 0.3651  1 C 1.34

***

Density functional theory data (meta-GGA SCAN) for Na2CuAsCO7 at its PBEsol-relaxed geometry.

Values from the calculation:
- Calculated total energy: -0.3533 hartree per atom
- ΔE_f (raw): -1.487 eV/atom
- SG: P2_1/m (11)

Lattice parameters (Å, degrees): 5.2240 6.5622 9.0625 90.00 91.52 90.00
Closest atoms and distances in Å follow each position.
Sites, in units of the cell vectors:
Na 0.2354 0.0058 0.2679  5 O 2.27-2.43
Na 0.2354 0.4942 0.2679  5 O 2.27-2.43
Na 0.7646 0.5058 0.7321  5 O 2.27-2.43
Na 0.7646 0.9942 0.7321  5 O 2.27-2.43
Cu 0.2128 0.2500 0.8475  6 O 1.97-2.08
Cu 0.7872 0.7500 0.1525  6 O 1.97-2.08
As 0.2928 0.7500 0.9268  4 O 1.70-1.73
As 0.7072 0.2500 0.0732  4 O 1.70-1.73
C 0.2771 0.2500 0.5774  3 O 1.25-1.30
C 0.7229 0.7500 0.4226  3 O 1.25-1.30
O 0.0525 0.2500 0.6359  1 C 1.30
O 0.1565 0.7500 0.0953  1 As 1.70
O 0.2019 0.5473 0.8183  1 As 1.71
O 0.2019 0.9527 0.8183  1 As 1.71
O 0.3093 0.2500 0.4408  1 C 1.25
O 0.3774 0.2500 0.0480  1 As 1.73
O 0.4665 0.2500 0.6742  1 C 1.30
O 0.5335 0.7500 0.3258  1 C 1.30
O 0.6226 0.7500 0.9520  1 As 1.73
O 0.6907 0.7500 0.5592  1 C 1.25
O 0.7981 0.0473 0.1817  1 As 1.71
O 0.7981 0.4527 0.1817  1 As 1.71
O 0.8435 0.2500 0.9047  1 As 1.70
O 0.9475 0.7500 0.3641  1 C 1.30

***

Density functional theory data (meta-GGA SCAN) for Na6Cu2AsC4O16 at its PBEsol-relaxed geometry.

Values from the calculation:
- Calculated total energy: -0.3306 hartree per atom
- ΔE_f (raw): -1.550 eV/atom
- SG: Fd-3 (203)

Lattice parameters (Å, degrees): 9.8069 9.8069 9.8069 60.00 60.00 60.00
Closest atoms and distances in Å follow each position.
Sites, in units of the cell vectors:
Na 0.0865 0.0865 0.6635  6 O 2.39-2.49
Na 0.0865 0.6635 0.0865  6 O 2.39-2.49
Na 0.0865 0.6635 0.6635  6 O 2.39-2.49
Na 0.3365 0.3365 0.9135  6 O 2.39-2.49
Na 0.3365 0.9135 0.3365  6 O 2.39-2.49
Na 0.3365 0.9135 0.9135  6 O 2.39-2.49
Na 0.6635 0.0865 0.0865  6 O 2.39-2.49
Na 0.6635 0.0865 0.6635  6 O 2.39-2.49
Na 0.6635 0.6635 0.0865  6 O 2.39-2.49
Na 0.9135 0.3365 0.3365  6 O 2.39-2.49
Na 0.9135 0.3365 0.9135  6 O 2.39-2.49
Na 0.9135 0.9135 0.3365  6 O 2.39-2.49
Cu 0.0000 0.5000 0.5000  6 O 2.06
Cu 0.5000 0.0000 0.5000  6 O 2.06
Cu 0.5000 0.5000 0.0000  6 O 2.06
Cu 0.5000 0.5000 0.5000  6 O 2.06
As 0.1250 0.1250 0.1250  4 O 1.71
As 0.8750 0.8750 0.8750  4 O 1.71
C 0.2855 0.2855 0.2855  3 O 1.29
C 0.2855 0.2855 0.6436  3 O 1.29
C 0.2855 0.6436 0.2855  3 O 1.29
C 0.3564 0.7145 0.7145  3 O 1.29
C 0.6436 0.2855 0.2855  3 O 1.29
C 0.7145 0.3564 0.7145  3 O 1.29
C 0.7145 0.7145 0.3564  3 O 1.29
C 0.7145 0.7145 0.7145  3 O 1.29
O 0.0537 0.0537 0.0537  1 As 1.71
O 0.0537 0.0537 0.3388  1 As 1.71
O 0.0537 0.3388 0.0537  1 As 1.71
O 0.1429 0.3065 0.6465  1 C 1.29
O 0.1429 0.4041 0.3065  1 C 1.29
O 0.1429 0.6465 0.4041  1 C 1.29
O 0.3065 0.1429 0.4041  1 C 1.29
O 0.3065 0.4041 0.6465  1 C 1.29
O 0.3065 0.6465 0.1429  1 C 1.29
O 0.3388 0.0537 0.0537  1 As 1.71
O 0.3535 0.5959 0.8571  1 C 1.29
O 0.3535 0.6935 0.5959  1 C 1.29
O 0.3535 0.8571 0.6935  1 C 1.29
O 0.4041 0.1429 0.6465  1 C 1.29
O 0.4041 0.3065 0.1429  1 C 1.29
O 0.4041 0.6465 0.3065  1 C 1.29
O 0.5959 0.3535 0.6935  1 C 1.29
O 0.5959 0.6935 0.8571  1 C 1.29
O 0.5959 0.8571 0.3535  1 C 1.29
O 0.6465 0.1429 0.3065  1 C 1.29
O 0.6465 0.3065 0.4041  1 C 1.29
O 0.6465 0.4041 0.1429  1 C 1.29
O 0.6612 0.9463 0.9463  1 As 1.71
O 0.6935 0.3535 0.8571  1 C 1.29
O 0.6935 0.5959 0.3535  1 C 1.29
O 0.6935 0.8571 0.5959  1 C 1.29
O 0.8571 0.3535 0.5959  1 C 1.29
O 0.8571 0.5959 0.6935  1 C 1.29
O 0.8571 0.6935 0.3535  1 C 1.29
O 0.9463 0.6612 0.9463  1 As 1.71
O 0.9463 0.9463 0.6612  1 As 1.71
O 0.9463 0.9463 0.9463  1 As 1.71

***

Density functional theory data (meta-GGA SCAN) for CuAs2CSe at its PBEsol-relaxed geometry.

Values from the calculation:
- Calculated total energy: -0.5833 hartree per atom
- ΔE_f (raw): 1.279 eV/atom
- SG: P4/mmm (123)

Lattice parameters (Å, degrees): 4.2360 4.2360 4.3689 90.00 90.00 90.00
Closest atoms and distances in Å follow each position.
Sites, in units of the cell vectors:
Cu 0.0000 0.0000 0.0000  4 Se 3.00, 8 As 3.04
As 0.0000 0.5000 0.5000  2 C 2.12
As 0.5000 0.0000 0.5000  2 C 2.12
C 0.5000 0.5000 0.5000  4 As 2.12, 2 Se 2.18
Se 0.5000 0.5000 0.0000  2 C 2.18

***

Density functional theory data (meta-GGA SCAN) for As3CF at its PBEsol-relaxed geometry.

Values from the calculation:
- Calculated total energy: -0.5124 hartree per atom
- ΔE_f (raw): 0.899 eV/atom
- SG: Pm-3m (221)

Lattice parameters (Å, degrees): 4.2943 4.2943 4.2943 90.00 90.00 90.00
Closest atoms and distances in Å follow each position.
Sites, in units of the cell vectors:
As 0.0000 0.0000 0.5000  2 C 2.15
As 0.0000 0.5000 0.0000  2 C 2.15
As 0.5000 0.0000 0.0000  2 C 2.15
C 0.0000 0.0000 0.0000  6 As 2.15
F 0.5000 0.5000 0.5000  12 As 3.04